## LiCrIn3 (PBE)

Data for a relaxed structure of LiCrIn3.

Relative energy among the computed polymorphs = 0.00 eV per formula unit
DFT formation energy = 318 meV/atom

Lattice parameters (Å, degrees): 5.149 5.149 5.149 90.00 90.00 90.00
Space group Pm-3m (No. 221)
Unique sites:
Li1 0.000 0.000 0.000 (multiplicity 1)
Cr1 0.500 0.500 0.500 (multiplicity 1)
In1 0.000 0.500 0.500 (multiplicity 3)

## Gd2HgAs (PBE)

Data for a relaxed structure of Gd2HgAs.

Relative energy among the computed polymorphs = 0.33 eV per formula unit
DFT formation energy = -850 meV/atom

Lattice parameters (Å, degrees): 3.765 3.765 6.930 90.00 90.00 90.00
Space group P4/mmm (No. 123)
Unique sites:
Gd1 0.000 0.000 0.231 (multiplicity 2)
Hg1 0.500 0.500 0.500 (multiplicity 1)
As1 0.500 0.500 0.000 (multiplicity 1)

## Tm5Mg4Cu (PBE)

Data for a relaxed structure of Tm5Mg4Cu.

DFT formation energy = -87 meV/atom

Lattice parameters (Å, degrees): 3.634 3.634 18.929 90.00 90.00 90.00
Space group P4/mmm (No. 123)
Unique sites:
Tm1 0.000 0.000 0.000 (multiplicity 1)
Tm2 0.000 0.000 0.207 (multiplicity 2)
Tm3 0.000 0.000 0.415 (multiplicity 2)
Mg1 0.500 0.500 0.103 (multiplicity 2)
Mg2 0.500 0.500 0.309 (multiplicity 2)
Cu1 0.500 0.500 0.500 (multiplicity 1)

## La3Pr3Sm (PBE)

Data for a relaxed structure of La3Pr3Sm.

Relative energy among the computed polymorphs = 1.19 eV per formula unit
DFT formation energy = 203 meV/atom

Lattice parameters (Å, degrees): 9.0194 9.0194 21.9982 90.00 90.00 120.00
Space group R-3 (No. 148, hexagonal axes)
Unique sites:
La1 0.0040 0.2476 0.0561 (multiplicity 18)
Pr1 0.0549 0.4480 0.8813 (multiplicity 18)
Sm1 0.0000 0.0000 0.3531 (multiplicity 6)

## VZnOs2 (PBE)

Data for a relaxed structure of VZnOs2.

DFT formation energy = 434 meV/atom

Lattice parameters (Å, degrees): 2.7385 2.7385 27.1601 90.00 90.00 120.00
Space group R-3m (No. 166, hexagonal axes)
Unique sites:
V1 0.0000 0.0000 0.0000 (multiplicity 3)
Zn1 0.0000 0.0000 0.5000 (multiplicity 3)
Os1 0.0000 0.0000 0.0860 (multiplicity 6)

## ZrTiNi2 (PBE)

Data for a relaxed structure of ZrTiNi2.

Relative energy among the computed polymorphs = 0.00 eV per formula unit
DFT formation energy = -421 meV/atom

Lattice parameters (Å, degrees): 5.176 4.049 6.354 90.00 112.64 90.00
Space group P2_1/m (No. 11)
Unique sites:
Zr1 0.218 0.250 0.416 (multiplicity 2)
Ti1 0.220 0.250 0.920 (multiplicity 2)
Ni1 0.325 0.750 0.169 (multiplicity 2)
Ni2 0.340 0.750 0.730 (multiplicity 2)

## Nb3InSe (PBE)

Data for a relaxed structure of Nb3InSe.

Relative energy among the computed polymorphs = 3.24 eV per formula unit
Energy relative to the elements, uncorrected = 0.50 eV per atom

Lattice parameters (Å, degrees): 4.776 4.776 4.776 90.00 90.00 90.00
Space group Pm-3m (No. 221)
Unique sites:
Nb1 0.000 0.000 0.500 (multiplicity 3)
In1 0.500 0.500 0.500 (multiplicity 1)
Se1 0.000 0.000 0.000 (multiplicity 1)

## SrIn2CuPd4 (PBE)

Data for a relaxed structure of SrIn2CuPd4.

DFT formation energy = -469 meV/atom

Lattice parameters (Å, degrees): 4.5657 4.5657 26.5247 90.00 90.00 120.00
Space group R-3m (No. 166, hexagonal axes)
Unique sites:
Sr1 0.0000 0.0000 0.0000 (multiplicity 3)
In1 0.0000 0.0000 0.2352 (multiplicity 6)
Cu1 0.0000 0.0000 0.5000 (multiplicity 3)
Pd1 0.0000 0.0000 0.1293 (multiplicity 6)
Pd2 0.0000 0.0000 0.4049 (multiplicity 6)